Version one
The following is a PBE calculation of a relaxed structure of Cd4Pb, from the Alexandria database.

Summary:
The crystal system is orthorhombic.

Lattice parameters (Å, degrees): 8.7041 8.7041 8.7041 158.29 149.43 37.81
Last column: nearest neighbours and their distance in Å.
Element x y z (fractional)
Cd 0.1119 0.1119 0.0000  7 Cd 3.06-3.28, 4 Pb 3.37
Cd 0.2980 0.2980 0.0000  11 Cd 3.06-3.28, 1 Pb 3.33
Cd 0.7020 0.7020 0.0000  11 Cd 3.06-3.28, 1 Pb 3.33
Cd 0.8881 0.8881 0.0000  7 Cd 3.06-3.28, 4 Pb 3.37
Pb 0.5000 0.5000 0.0000  2 Pb 3.28, 10 Cd 3.33-3.37


Version two
The following is a PBE calculation of a relaxed structure of Cd4Pb, from the Alexandria database.

Summary:
The crystal system is cubic.

Lattice parameters (Å, degrees): 6.0650 6.0650 6.0650 109.47 109.47 109.47
Last column: nearest neighbours and their distance in Å.
Element x y z (fractional)
Cd 0.0000 0.0000 0.5000  2 Pb 3.03
Cd 0.0000 0.5000 0.0000  2 Pb 3.03
Cd 0.5000 0.0000 0.0000  2 Pb 3.03
Cd 0.5000 0.5000 0.5000  2 Pb 3.03
Pb 0.0000 0.0000 0.0000  8 Cd 3.03


Version three
The following is a PBE calculation of a relaxed structure of Cd4Pb, from the Alexandria database.

Summary:
The crystal system is cubic.

Lattice parameters (Å, degrees): 5.8054 5.8054 5.8054 90.00 90.00 90.00
Last column: nearest neighbours and their distance in Å.
Element x y z (fractional)
Cd 0.0000 0.0000 0.0000  12 Cd 4.11
Cd 0.0000 0.5000 0.5000  2 Pb 2.90
Cd 0.5000 0.0000 0.5000  2 Pb 2.90
Cd 0.5000 0.5000 0.0000  2 Pb 2.90
Pb 0.5000 0.5000 0.5000  6 Cd 2.90


Top of the stability list: version one, leading by 0.262 eV/atom.


Version one
The following is a PBE calculation of a relaxed structure of Cd5Pb, from the Alexandria database.

Summary:
The crystal system is hexagonal.

Lattice parameters (Å, degrees): 5.6978 5.6978 5.2636 90.00 90.00 120.00
Last column: nearest neighbours and their distance in Å.
Element x y z (fractional)
Cd 0.0000 0.6388 0.0000  8 Cd 3.16-3.20, 2 Pb 3.34
Cd 0.3333 0.6667 0.5000  9 Cd 3.20-3.29, 3 Pb 3.29
Cd 0.3612 0.3612 0.0000  8 Cd 3.16-3.20, 2 Pb 3.34
Cd 0.6388 0.0000 0.0000  8 Cd 3.16-3.20, 2 Pb 3.34
Cd 0.6667 0.3333 0.5000  9 Cd 3.20-3.29, 3 Pb 3.29
Pb 0.0000 0.0000 0.5000  12 Cd 3.29-3.34


Version two
The following is a PBE calculation of a relaxed structure of Cd5Pb, from the Alexandria database.

Summary:
The crystal system is monoclinic.

Lattice parameters (Å, degrees): 7.1041 7.1041 7.0092 104.03 104.03 25.37
Last column: nearest neighbours and their distance in Å.
Element x y z (fractional)
Cd 0.0000 0.0000 0.0000  9 Cd 3.12-3.31, 2 Pb 3.38
Cd 0.0099 0.0099 0.4751  9 Cd 3.12-3.30, 2 Pb 3.31
Cd 0.3432 0.3432 0.1761  9 Cd 3.12-3.33, 2 Pb 3.31
Cd 0.3558 0.3558 0.6571  9 Cd 3.12-3.33, 2 Pb 3.38
Cd 0.6777 0.6777 0.3281  10 Cd 3.12-3.32, 1 Pb 3.49
Pb 0.6766 0.6766 0.8255  2 Pb 3.12, 9 Cd 3.31-3.49


Top of the stability list: version two, leading by 0.010 eV/atom.


Version one
The following is a PBE calculation of a relaxed structure of Cd5Pb4, from the Alexandria database.

Summary:
The crystal system is hexagonal.

Lattice parameters (Å, degrees): 9.5940 9.5940 6.2602 90.00 90.00 120.00
Last column: nearest neighbours and their distance in Å.
Element x y z (fractional)
Cd 0.0000 0.3034 0.2500  7 Pb 3.14-3.31
Cd 0.0000 0.6966 0.7500  7 Pb 3.14-3.31
Cd 0.3034 0.0000 0.2500  7 Pb 3.14-3.31
Cd 0.3034 0.3034 0.7500  7 Pb 3.14-3.31
Cd 0.3333 0.6667 0.0000  2 Cd 3.13, 6 Pb 3.42
Cd 0.3333 0.6667 0.5000  2 Cd 3.13, 6 Pb 3.42
Cd 0.6667 0.3333 0.0000  2 Cd 3.13, 6 Pb 3.42
Cd 0.6667 0.3333 0.5000  2 Cd 3.13, 6 Pb 3.42
Cd 0.6966 0.0000 0.7500  7 Pb 3.14-3.31
Cd 0.6966 0.6966 0.2500  7 Pb 3.14-3.31
Pb 0.0000 0.0000 0.0000  2 Pb 3.13, 6 Cd 3.31
Pb 0.0000 0.0000 0.5000  2 Pb 3.13, 6 Cd 3.31
Pb 0.0000 0.3698 0.7500  9 Cd 3.14-3.42
Pb 0.0000 0.6302 0.2500  9 Cd 3.14-3.42
Pb 0.3698 0.0000 0.7500  9 Cd 3.14-3.42
Pb 0.3698 0.3698 0.2500  9 Cd 3.14-3.42
Pb 0.6302 0.0000 0.2500  9 Cd 3.14-3.42
Pb 0.6302 0.6302 0.7500  9 Cd 3.14-3.42


Version two
The following is a PBE calculation of a relaxed structure of Cd5Pb4, from the Alexandria database.

Summary:
The crystal system is tetragonal.

Lattice parameters (Å, degrees): 8.7476 8.7476 8.7476 92.13 92.13 157.79
Last column: nearest neighbours and their distance in Å.
Element x y z (fractional)
Cd 0.0000 0.0000 0.0000  10 Cd 3.29-3.37
Cd 0.3357 0.3357 0.6714  4 Pb 3.22, 6 Cd 3.29-3.39
Cd 0.3357 0.6643 0.0000  4 Pb 3.22, 6 Cd 3.29-3.39
Cd 0.6643 0.3357 0.0000  4 Pb 3.22, 6 Cd 3.29-3.39
Cd 0.6643 0.6643 0.3286  4 Pb 3.22, 6 Cd 3.29-3.39
Pb 0.0000 0.3198 0.3198  4 Cd 3.22, 6 Pb 3.37-3.52
Pb 0.0000 0.6802 0.6802  4 Cd 3.22, 6 Pb 3.37-3.52
Pb 0.3198 0.0000 0.3198  4 Cd 3.22, 6 Pb 3.37-3.52
Pb 0.6802 0.0000 0.6802  4 Cd 3.22, 6 Pb 3.37-3.52


Top of the stability list: version two, leading by 0.033 eV/atom.


Version one
The following is a PBE calculation of a relaxed structure of Cd12Pb, from the Alexandria database.

Summary:
The crystal system is tetragonal.

Lattice parameters (Å, degrees): 7.7585 7.7585 7.7585 98.82 98.82 133.90
Last column: nearest neighbours and their distance in Å.
Element x y z (fractional)
Cd 0.0000 0.0000 0.5000  10 Cd 2.97-3.12
Cd 0.0000 0.2159 0.2159  8 Cd 2.97-3.24
Cd 0.0000 0.5000 0.0000  10 Cd 2.97-3.12
Cd 0.0000 0.7841 0.7841  8 Cd 2.97-3.24
Cd 0.1483 0.5000 0.6483  9 Cd 2.99-3.33
Cd 0.2159 0.0000 0.2159  8 Cd 2.97-3.24
Cd 0.5000 0.0000 0.0000  10 Cd 2.97-3.12
Cd 0.5000 0.1483 0.6483  9 Cd 2.99-3.33
Cd 0.5000 0.5000 0.5000  10 Cd 2.97-3.12
Cd 0.5000 0.8517 0.3517  9 Cd 2.99-3.33
Cd 0.7841 0.0000 0.7841  8 Cd 2.97-3.24
Cd 0.8517 0.5000 0.3517  9 Cd 2.99-3.33
Pb 0.5000 0.5000 0.0000  20 Cd 3.55-3.88


Version two
The following is a PBE calculation of a relaxed structure of Cd12Pb, from the Alexandria database.

Summary:
The crystal system is cubic.

Lattice parameters (Å, degrees): 8.5437 8.5437 8.5437 60.00 60.00 60.00
Last column: nearest neighbours and their distance in Å.
Element x y z (fractional)
Cd 0.0000 0.0000 0.3403  5 Cd 2.73-2.91
Cd 0.0000 0.0000 0.6597  5 Cd 2.73-2.91
Cd 0.0000 0.3403 0.0000  5 Cd 2.73-2.91
Cd 0.0000 0.3403 0.6597  5 Cd 2.73-2.91
Cd 0.0000 0.6597 0.0000  5 Cd 2.73-2.91
Cd 0.0000 0.6597 0.3403  5 Cd 2.73-2.91
Cd 0.3403 0.0000 0.0000  5 Cd 2.73-2.91
Cd 0.3403 0.0000 0.6597  5 Cd 2.73-2.91
Cd 0.3403 0.6597 0.0000  5 Cd 2.73-2.91
Cd 0.6597 0.0000 0.0000  5 Cd 2.73-2.91
Cd 0.6597 0.0000 0.3403  5 Cd 2.73-2.91
Cd 0.6597 0.3403 0.0000  5 Cd 2.73-2.91
Pb 0.5000 0.5000 0.5000  24 Cd 4.48


Top of the stability list: version one, leading by 0.308 eV/atom.